DFT (PBE) results for a relaxed structure of In2RhSe.

Results
Total magnetic moment   0.00 μB/cell
Raw formation energy   0.11 eV/atom
D(E_F)   0.610 states/eV/atom
SG   F-43m

a = 4.869 Å, b = 4.869 Å, c = 4.869 Å
α = 60.00°, β = 60.00°, γ = 60.00°
Element x y z (fractional)
In (0.000, 0.000, 0.000)
In (0.250, 0.250, 0.250)
Rh (0.500, 0.500, 0.500)
Se (0.750, 0.750, 0.750)

---

DFT (PBE) results for a relaxed structure of In2RhSe.

Results
Total magnetic moment   0.00 μB/cell
Raw formation energy   -0.20 eV/atom
D(E_F)   0.501 states/eV/atom
SG   Imm2

a = 6.763 Å, b = 6.763 Å, c = 6.763 Å
α = 153.34°, β = 140.49°, γ = 48.30°
Element x y z (fractional)
In (0.000, 0.000, 0.000)
In (0.694, 0.194, 0.500)
Rh (0.201, 0.701, 0.500)
Se (0.371, 0.371, 0.000)

---

DFT (PBE) results for a relaxed structure of In2RhSe.

Results
Total magnetic moment   0.00 μB/cell
Raw formation energy   -0.16 eV/atom
D(E_F)   0.378 states/eV/atom
SG   P4mm

a = 3.764 Å, b = 3.764 Å, c = 6.619 Å
α = 90.00°, β = 90.00°, γ = 90.00°
Element x y z (fractional)
In (0.000, 0.000, 0.000)
In (0.500, 0.500, 0.383)
Rh (0.000, 0.000, 0.394)
Se (0.500, 0.500, 0.838)

---

DFT (PBE) results for a relaxed structure of In2RhSe.

Results
Total magnetic moment   0.00 μB/cell
Raw formation energy   -0.18 eV/atom
D(E_F)   0.750 states/eV/atom
SG   R-3m

a = 7.589 Å, b = 7.589 Å, c = 7.589 Å
α = 28.23°, β = 28.23°, γ = 28.23°
Element x y z (fractional)
In (0.245, 0.245, 0.245)
In (0.755, 0.755, 0.755)
Rh (0.500, 0.500, 0.500)
Se (0.000, 0.000, 0.000)

---

DFT (PBE) results for a relaxed structure of In2Rh2Se.

Results
Total magnetic moment   0.00 μB/cell
Raw formation energy   -0.19 eV/atom
D(E_F)   0.420 states/eV/atom
SG   P4/mbm

a = 7.593 Å, b = 7.593 Å, c = 3.209 Å
α = 90.00°, β = 90.00°, γ = 90.00°
Element x y z (fractional)
In (0.153, 0.347, 0.000)
In (0.347, 0.847, 0.000)
In (0.653, 0.153, 0.000)
In (0.847, 0.653, 0.000)
Rh (0.145, 0.645, 0.500)
Rh (0.355, 0.145, 0.500)
Rh (0.645, 0.855, 0.500)
Rh (0.855, 0.355, 0.500)
Se (0.000, 0.000, 0.500)
Se (0.500, 0.500, 0.500)

---

DFT (PBE) results for a relaxed structure of In2RhSe.

Results
Total magnetic moment   0.00 μB/cell
Raw formation energy   0.06 eV/atom
D(E_F)   0.695 states/eV/atom
SG   I-4m2

a = 5.312 Å, b = 5.312 Å, c = 5.312 Å
α = 132.15°, β = 132.15°, γ = 69.99°
Element x y z (fractional)
In (0.000, 0.000, 0.000)
In (0.750, 0.250, 0.500)
Rh (0.250, 0.750, 0.500)
Se (0.500, 0.500, 0.000)

---

DFT (PBE) results for a relaxed structure of In2RhSe.

Results
Total magnetic moment   0.00 μB/cell
Raw formation energy   0.10 eV/atom
D(E_F)   0.756 states/eV/atom
SG   I4/mmm

a = 5.205 Å, b = 5.205 Å, c = 5.205 Å
α = 130.53°, β = 130.53°, γ = 72.57°
Element x y z (fractional)
In (0.250, 0.750, 0.500)
In (0.750, 0.250, 0.500)
Rh (0.000, 0.000, 0.000)
Se (0.500, 0.500, 0.000)

---

DFT (PBE) results for a relaxed structure of In2RhSe.

Results
Total magnetic moment   0.00 μB/cell
Raw formation energy   -0.22 eV/atom
D(E_F)   0.604 states/eV/atom
SG   Cm

a = 5.287 Å, b = 5.287 Å, c = 6.191 Å
α = 112.08°, β = 112.08°, γ = 33.91°
Element x y z (fractional)
In (0.000, 0.000, 0.000)
In (0.165, 0.165, 0.612)
Rh (0.733, 0.733, 0.017)
Se (0.351, 0.351, 0.362)